CrRuRh | SCAN | single point on PBEsol structure

Output
ρ: 9.0 Mg/m³
Distance to the lowest polymorph of the same formula: 592.8 meV/atom
Total DFT energy (no corrections): -28.362 eV/atom
Volume: 15.78 Å³ per atom
E_form: 1.90 eV per formula unit
Total moment: 12.30 Bohr magnetons per cell

Structure (CIF):
```
data_CrRuRh
_space_group_name_H-M_alt 'F -4 3 m'
_space_group_IT_number 216
_space_group_name_Hall 'F -4 2 3'
_cell_length_a 5.7423
_cell_length_b 5.7423
_cell_length_c 5.7423
_cell_angle_alpha 90.00
_cell_angle_beta 90.00
_cell_angle_gamma 90.00
loop_
_atom_site_label
_atom_site_type_symbol
_atom_site_fract_x
_atom_site_fract_y
_atom_site_fract_z
Cr1 Cr 0.0000 0.0000 0.0000
Ru1 Ru 0.0000 0.0000 0.5000
Rh1 Rh 0.2500 0.2500 0.7500
```

=====

CrRuRh | SCAN | single point on PBEsol structure

Output
ρ: 11.1 Mg/m³
Distance to the lowest polymorph of the same formula: 17.7 meV/atom
Total DFT energy (no corrections): -28.937 eV/atom
Volume: 12.77 Å³ per atom
E_form: 0.17 eV per formula unit
Total moment: 0.00 Bohr magnetons per cell

Structure (CIF):
```
data_CrRuRh
_space_group_name_H-M_alt 'P 3 m 1'
_space_group_IT_number 156
_cell_length_a 2.6369
_cell_length_b 2.6369
_cell_length_c 6.3620
_cell_angle_alpha 90.00
_cell_angle_beta 90.00
_cell_angle_gamma 120.00
loop_
_space_group_symop_operation_xyz
'x,y,z'
'-y,x-y,z'
'-x+y,-x,z'
'-y,-x,z'
'-x+y,y,z'
'x,x-y,z'
loop_
_atom_site_label
_atom_site_type_symbol
_atom_site_fract_x
_atom_site_fract_y
_atom_site_fract_z
Cr1 Cr 0.0000 0.0000 0.0000
Ru1 Ru 0.3333 0.6667 0.3134
Rh1 Rh 0.6667 0.3333 0.6776
```